[1]
The following is a DFT calculation (PBE-GGA) of UCuTe after structural relaxation.

abc: 6.9355 6.9355 6.9355
angles: 90.00 90.00 90.00
Closest atoms and distances in Å follow each position.
Space group F-43m (No. 216)
Inequivalent atoms, fractional coordinates:
U: 0.0000 0.0000 0.0000 [4 per cell]  4 Te 3.00, 4 Cu 3.00
Cu: 0.2500 0.2500 0.7500 [4 per cell]  4 U 3.00
Te: 0.2500 0.2500 0.2500 [4 per cell]  4 U 3.00

---

[2]
The following is a DFT calculation (PBE-GGA) of Y3Er3NiTe2 after structural relaxation.

abc: 8.3535 8.3535 3.9086
angles: 90.00 90.00 120.00
Closest atoms and distances in Å follow each position.
Space group P-62m (No. 189)
Inequivalent atoms, fractional coordinates:
Y: 0.0000 0.4020 0.0000 [3 per cell]  4 Te 3.21, 1 Ni 3.36, 4 Er 3.52
Er: 0.0000 0.7639 0.5000 [3 per cell]  2 Ni 2.78
Ni: 0.0000 0.0000 0.0000 [1 per cell]  6 Er 2.78
Te: 0.3333 0.6667 0.5000 [2 per cell]  6 Y 3.21, 3 Er 3.27

---

no.,energy (eV/atom)
1,-5.679
2,-5.717